No. 1
Density functional theory data (PBE-GGA) for a relaxed Tb2Sm2Te2Se3 crystal.

Cell: 8.851 8.851 8.851 Å, 142.90 142.90 53.47°
Fractional positions:
Tb  0.000  0.500  0.500
Tb  0.500  0.000  0.500
Sm  0.195  0.195  0.000
Sm  0.805  0.805  0.000
Te  0.395  0.395  0.000
Te  0.605  0.605  0.000
Se  0.000  0.000  0.000
Se  0.250  0.750  0.500
Se  0.750  0.250  0.500

Computed properties:
E in eV per cell: -48.36
Formation energy (no corrections) in eV per atom: -1.436



No. 2
Density functional theory data (PBE-GGA) for a relaxed CeDy2TmSe6 crystal.

Cell: 7.734 7.734 7.734 Å, 56.00 56.00 56.00°
Fractional positions:
Ce  0.000  0.000  0.000
Dy  0.198  0.198  0.198
Dy  0.702  0.702  0.702
Tm  0.505  0.505  0.505
Se  0.106  0.412  0.793
Se  0.314  0.908  0.585
Se  0.412  0.793  0.106
Se  0.585  0.314  0.908
Se  0.793  0.106  0.412
Se  0.908  0.585  0.314

Computed properties:
E in eV per cell: -58.68
Formation energy (no corrections) in eV per atom: -1.816



No. 3
Density functional theory data (PBE-GGA) for a relaxed Ce6CdPt2 crystal.

Cell: 5.812 5.812 8.985 Å, 91.19 91.19 47.81°
Fractional positions:
Ce  0.063  0.063  0.361
Ce  0.294  0.294  0.917
Ce  0.403  0.403  0.313
Ce  0.597  0.597  0.687
Ce  0.706  0.706  0.083
Ce  0.937  0.937  0.639
Cd  0.000  0.000  0.000
Pt  0.259  0.259  0.609
Pt  0.741  0.741  0.391

Computed properties:
E in eV per cell: -53.08
Formation energy from the elements in eV/atom: -0.50



No. 4
Density functional theory data (PBE-GGA) for a relaxed KSr2Re crystal.

Cell: 5.687 5.687 4.293 Å, 90.00 90.00 90.00°
Fractional positions:
K  0.000  0.000  0.000
Sr  0.000  0.500  0.500
Sr  0.500  0.000  0.500
Re  0.500  0.500  0.000

Computed properties:
Energy above the lowest structure with this stoichiometry in kJ per mole of atoms: 35.3
E in eV per cell: -12.17
Formation energy from the elements in eV/atom: 1.19



No. 5
Density functional theory data (PBE-GGA) for a relaxed Fe2IrS crystal.

Cell: 6.251 6.251 6.251 Å, 132.08 132.08 70.10°
Fractional positions:
Fe  0.099  0.625  0.974
Fe  0.375  0.349  0.474
Fe  0.651  0.125  0.026
Fe  0.875  0.901  0.526
Ir  0.250  0.750  0.500
Ir  0.500  0.500  0.000
S  0.000  0.000  0.000
S  0.750  0.250  0.500

Computed properties:
E in eV per cell: -56.24
Formation energy (no corrections) in eV per atom: 0.449



No. 6
Density functional theory data (PBE-GGA) for a relaxed Na3PuSb3Se8 crystal.

Cell: 8.571 8.571 8.571 Å, 58.06 58.06 58.06°
Fractional positions:
Na  0.000  0.500  0.500
Na  0.500  0.000  0.500
Na  0.500  0.500  0.000
Pu  0.500  0.500  0.500
Sb  0.000  0.000  0.500
Sb  0.000  0.500  0.000
Sb  0.500  0.000  0.000
Se  0.244  0.244  0.244
Se  0.247  0.738  0.738
Se  0.262  0.262  0.753
Se  0.262  0.753  0.262
Se  0.738  0.247  0.738
Se  0.738  0.738  0.247
Se  0.753  0.262  0.262
Se  0.756  0.756  0.756

Computed properties:
E in eV per cell: -69.79
Formation energy (no corrections) in eV per atom: -0.750



No. 7
Density functional theory data (PBE-GGA) for a relaxed Pm6Sb3PSe2 crystal.

Cell: 9.713 9.713 8.686 Å, 103.00 103.00 25.78°
Fractional positions:
Pm  0.001  0.001  0.232
Pm  0.333  0.333  0.421
Pm  0.342  0.342  0.915
Pm  0.658  0.658  0.085
Pm  0.667  0.667  0.579
Pm  0.999  0.999  0.768
Sb  0.170  0.170  0.834
Sb  0.500  0.500  0.500
Sb  0.830  0.830  0.166
P  0.500  0.500  0.000
Se  0.166  0.166  0.334
Se  0.834  0.834  0.666

Computed properties:
E in eV per cell: -70.98
Formation energy (no corrections) in eV per atom: -1.477



No. 8
Density functional theory data (PBE-GGA) for a relaxed NaThTl2 crystal.

Cell: 5.840 5.840 3.401 Å, 90.00 90.00 90.00°
Fractional positions:
Na  0.000  0.000  0.000
Th  0.500  0.500  0.000
Tl  0.000  0.500  0.500
Tl  0.500  0.000  0.500

Computed properties:
E in eV per cell: -13.89
Formation energy from the elements in eV/atom: -0.10



No. 9
Density functional theory data (PBE-GGA) for a relaxed Hg2SbSe crystal.

Cell: 3.722 3.722 10.544 Å, 90.00 90.00 120.97°
Fractional positions:
Hg  0.000  0.000  0.000
Hg  0.500  0.500  0.270
Sb  0.500  0.500  0.717
Se  0.000  0.000  0.538

Computed properties:
E in eV per cell: -7.90
Formation energy (no corrections) in eV per atom: 0.079



No. 10
Density functional theory data (PBE-GGA) for a relaxed GaPdBr crystal.

Cell: 7.324 7.324 5.121 Å, 96.06 96.06 30.18°
Fractional positions:
Ga  0.000  0.000  0.000
Ga  0.160  0.160  0.578
Pd  0.180  0.180  0.074
Pd  0.574  0.574  0.311
Br  0.443  0.443  0.617
Br  0.813  0.813  0.066

Computed properties:
Energy above the lowest structure with this stoichiometry in kJ per mole of atoms: 11.7
E in eV per cell: -22.14
Formation energy (no corrections) in eV per atom: -0.393



No. 11
Density functional theory data (PBE-GGA) for a relaxed Pr4HoEr8 crystal.

Cell: 7.796 7.796 7.796 Å, 90.18 90.18 90.18°
Fractional positions:
Pr  0.000  0.000  0.000
Pr  0.000  0.500  0.500
Pr  0.500  0.000  0.500
Pr  0.500  0.500  0.000
Ho  0.500  0.500  0.500
Er  0.240  0.240  0.240
Er  0.240  0.240  0.758
Er  0.240  0.758  0.240
Er  0.242  0.760  0.760
Er  0.758  0.240  0.240
Er  0.760  0.242  0.760
Er  0.760  0.760  0.242
Er  0.760  0.760  0.760

Computed properties:
E in eV per cell: -53.34
Formation energy from the elements in eV/atom: 0.53



No. 12
Density functional theory data (PBE-GGA) for a relaxed Er12Mn3H5 crystal.

Cell: 12.912 12.912 12.912 Å, 109.47 109.47 109.47°
Fractional positions:
Er  0.026  0.215  0.122
Er  0.026  0.311  0.904
Er  0.093  0.715  0.689
Er  0.093  0.878  0.404
Er  0.096  0.622  0.407
Er  0.096  0.974  0.689
Er  0.122  0.026  0.215
Er  0.122  0.596  0.907
Er  0.189  0.215  0.593
Er  0.189  0.474  0.596
Er  0.215  0.122  0.026
Er  0.215  0.593  0.189
Er  0.285  0.311  0.907
Er  0.285  0.474  0.378
Er  0.311  0.904  0.026
Er  0.311  0.907  0.285
Er  0.378  0.285  0.474
Er  0.378  0.593  0.904
Er  0.404  0.093  0.878
Er  0.404  0.811  0.526
Er  0.407  0.096  0.622
Er  0.407  0.811  0.785
Er  0.474  0.378  0.285
Er  0.474  0.596  0.189
Er  0.526  0.404  0.811
Er  0.526  0.622  0.715
Er  0.593  0.189  0.215
Er  0.593  0.904  0.378
Er  0.596  0.189  0.474
Er  0.596  0.907  0.122
Er  0.622  0.407  0.096
Er  0.622  0.715  0.526
Er  0.689  0.093  0.715
Er  0.689  0.096  0.974
Er  0.715  0.526  0.622
Er  0.715  0.689  0.093
Er  0.785  0.407  0.811
Er  0.785  0.878  0.974
Er  0.811  0.526  0.404
Er  0.811  0.785  0.407
Er  0.878  0.404  0.093
Er  0.878  0.974  0.785
Er  0.904  0.026  0.311
Er  0.904  0.378  0.593
Er  0.907  0.122  0.596
Er  0.907  0.285  0.311
Er  0.974  0.689  0.096
Er  0.974  0.785  0.878
Mn  0.125  0.250  0.375
Mn  0.125  0.375  0.750
Mn  0.250  0.375  0.125
Mn  0.250  0.875  0.625
Mn  0.375  0.125  0.250
Mn  0.375  0.750  0.125
Mn  0.625  0.250  0.875
Mn  0.625  0.875  0.750
Mn  0.750  0.125  0.375
Mn  0.750  0.625  0.875
Mn  0.875  0.625  0.250
Mn  0.875  0.750  0.625
H  0.000  0.000  0.000
H  0.000  0.000  0.500
H  0.000  0.500  0.000
H  0.000  0.500  0.500
H  0.125  0.750  0.875
H  0.125  0.875  0.250
H  0.250  0.125  0.875
H  0.250  0.625  0.375
H  0.375  0.250  0.625
H  0.375  0.625  0.750
H  0.500  0.000  0.000
H  0.500  0.000  0.500
H  0.500  0.500  0.000
H  0.500  0.500  0.500
H  0.625  0.375  0.250
H  0.625  0.750  0.375
H  0.750  0.375  0.625
H  0.750  0.875  0.125
H  0.875  0.125  0.750
H  0.875  0.250  0.125

Computed properties:
E in eV per cell: -401.03



No. 13
Density functional theory data (PBE-GGA) for a relaxed Tb4Th crystal.

Cell: 5.798 5.798 5.798 Å, 90.00 90.00 90.00°
Fractional positions:
Tb  0.000  0.000  0.000
Tb  0.000  0.500  0.500
Tb  0.500  0.000  0.500
Tb  0.500  0.500  0.000
Th  0.500  0.500  0.500

Computed properties:
Energy above the lowest structure with this stoichiometry in kJ per mole of atoms: 74.9
E in eV per cell: -21.77
Formation energy from the elements in eV/atom: 0.83



No. 14
Density functional theory data (PBE-GGA) for a relaxed CaTe2PbO8 crystal.

Cell: 5.959 5.959 7.350 Å, 90.00 90.00 120.00°
Fractional positions:
Ca  0.000  0.000  0.000
Te  0.333  0.667  0.302
Te  0.667  0.333  0.698
Pb  0.000  0.000  0.500
O  0.164  0.328  0.220
O  0.164  0.836  0.220
O  0.328  0.164  0.780
O  0.333  0.667  0.549
O  0.667  0.333  0.451
O  0.672  0.836  0.220
O  0.836  0.164  0.780
O  0.836  0.672  0.780

Computed properties:
E in eV per cell: -67.07
Formation energy (no corrections) in eV per atom: -1.284



No. 15
Density functional theory data (PBE-GGA) for a relaxed KIrRu crystal.

Cell: 4.051 5.281 8.441 Å, 78.18 76.59 90.00°
Fractional positions:
K  0.000  0.000  0.000
K  0.313  0.389  0.353
Ir  0.175  0.811  0.638
Ir  0.658  0.106  0.673
Ru  0.630  0.519  0.731
Ru  0.762  0.837  0.458

Computed properties:
Energy above the lowest structure with this stoichiometry in kJ per mole of atoms: 35.4
E in eV per cell: -33.62
Formation energy from the elements in eV/atom: 0.81



No. 16
Density functional theory data (PBE-GGA) for a relaxed Hf2Ga2As crystal.

Cell: 6.967 6.967 4.101 Å, 90.00 90.00 90.00°
Fractional positions:
Hf  0.168  0.332  0.000
Hf  0.332  0.832  0.000
Hf  0.668  0.168  0.000
Hf  0.832  0.668  0.000
Ga  0.137  0.637  0.500
Ga  0.363  0.137  0.500
Ga  0.637  0.863  0.500
Ga  0.863  0.363  0.500
As  0.000  0.000  0.000
As  0.500  0.500  0.000

Computed properties:
E in eV per cell: -66.27
Formation energy from the elements in eV/atom: -0.50



No. 17
Density functional theory data (PBE-GGA) for a relaxed Tm3CoHg crystal.

Cell: 8.103 3.799 8.324 Å, 90.00 108.38 90.00°
Fractional positions:
Tm  0.054  0.250  0.238
Tm  0.310  0.250  0.925
Tm  0.316  0.750  0.586
Tm  0.684  0.250  0.414
Tm  0.690  0.750  0.075
Tm  0.946  0.750  0.762
Co  0.066  0.250  0.586
Co  0.934  0.750  0.414
Hg  0.363  0.750  0.226
Hg  0.637  0.250  0.774

Computed properties:
Energy above the lowest structure with this stoichiometry in kJ per mole of atoms: 0.0
E in eV per cell: -44.74
Formation energy from the elements in eV/atom: -0.31



No. 18
Density functional theory data (PBE-GGA) for a relaxed Be2NbTl crystal.

Cell: 4.351 4.351 4.351 Å, 60.00 60.00 60.00°
Fractional positions:
Be  0.250  0.250  0.250
Be  0.750  0.750  0.750
Nb  0.000  0.000  0.000
Tl  0.500  0.500  0.500

Computed properties:
Energy above the lowest structure with this stoichiometry in kJ per mole of atoms: 0.0
E in eV per cell: -17.42
Formation energy from the elements in eV/atom: 0.62



No. 19
Density functional theory data (PBE-GGA) for a relaxed Tm8CdRu2 crystal.

Cell: 8.912 8.912 8.912 Å, 146.08 57.57 134.95°
Fractional positions:
Tm  0.000  0.000  0.000
Tm  0.259  0.593  0.666
Tm  0.345  0.456  0.889
Tm  0.418  0.129  0.289
Tm  0.566  0.456  0.111
Tm  0.723  0.223  0.500
Tm  0.840  0.129  0.711
Tm  0.927  0.593  0.334
Cd  0.297  0.797  0.500
Ru  0.653  0.824  0.829
Ru  0.995  0.824  0.171

Computed properties:
E in eV per cell: -58.05
Formation energy from the elements in eV/atom: -0.26



No. 20
Density functional theory data (PBE-GGA) for a relaxed ZrBe2Ag crystal.

Cell: 3.944 3.944 4.898 Å, 113.69 113.69 59.88°
Fractional positions:
Zr  0.000  0.000  0.000
Be  0.213  0.213  0.638
Be  0.787  0.787  0.362
Ag  0.500  0.500  0.500

Computed properties:
Energy above the lowest structure with this stoichiometry in kJ per mole of atoms: 2.3
E in eV per cell: -18.70
Formation energy from the elements in eV/atom: 0.04



No. 21
Density functional theory data (PBE-GGA) for a relaxed Re2SbIr crystal.

Cell: 2.953 2.953 7.412 Å, 90.00 90.00 90.00°
Fractional positions:
Re  0.000  0.000  0.244
Re  0.000  0.000  0.756
Sb  0.500  0.500  0.500
Ir  0.500  0.500  0.000

Computed properties:
E in eV per cell: -35.64
Formation energy (no corrections) in eV per atom: 0.560



Volume for every record listed, in sequence, given in Å³ per atom: 27.9; 29.7; 25.0; 34.7; 16.5; 28.4; 28.9; 29.0; 31.3; 22.9; 36.4; 20.7; 39.0; 18.8; 28.6; 19.9; 24.3; 14.6; 25.2; 14.6; 16.2.